[1]
# ZnBiP2 | the Alexandria database | PBE-GGA | optimized geometry
data_ZnBiP2
_space_group_name_H-M_alt 'P 1'
_space_group_IT_number 1
_cell_length_a 4.8257
_cell_length_b 4.8257
_cell_length_c 4.8257
_cell_angle_alpha 60.00
_cell_angle_beta 60.00
_cell_angle_gamma 60.00
loop_
_space_group_symop_operation_xyz
'x,y,z'
loop_
_atom_site_label
_atom_site_fract_x
_atom_site_fract_y
_atom_site_fract_z
_atom_site_occupancy
P1 0.2500 0.2500 0.2500 1
Zn1 0.0000 0.0000 0.0000 1
P2 0.7500 0.7500 0.7500 1
Bi1 0.5000 0.5000 0.5000 1
# ΔE to the lowest computed polymorph, eV per formula unit: 1.540
# ρ, g/cm3: 7.03
# M_tot, μB/cell: 0.0

[2]
# ZnBi2P | the Alexandria database | PBE-GGA | optimized geometry
data_ZnBi2P
_space_group_name_H-M_alt 'P 1'
_space_group_IT_number 1
_cell_length_a 5.1131
_cell_length_b 5.1131
_cell_length_c 5.1131
_cell_angle_alpha 60.00
_cell_angle_beta 60.00
_cell_angle_gamma 60.00
loop_
_space_group_symop_operation_xyz
'x,y,z'
loop_
_atom_site_label
_atom_site_fract_x
_atom_site_fract_y
_atom_site_fract_z
_atom_site_occupancy
Zn1 0.5000 0.5000 0.5000 1
P1 0.0000 0.0000 0.0000 1
Bi1 0.7500 0.7500 0.7500 1
Bi2 0.2500 0.2500 0.2500 1
# ΔE to the lowest computed polymorph, eV per formula unit: 0.262
# ρ, g/cm3: 9.04
# M_tot, μB/cell: 0.0

[3]
# Zn2BiP | the Alexandria database | PBE-GGA | optimized geometry
data_Zn2BiP
_space_group_name_H-M_alt 'P 1'
_space_group_IT_number 1
_cell_length_a 6.2026
_cell_length_b 6.2026
_cell_length_c 6.8471
_cell_angle_alpha 63.07
_cell_angle_beta 63.07
_cell_angle_gamma 90.00
loop_
_space_group_symop_operation_xyz
'x,y,z'
loop_
_atom_site_label
_atom_site_fract_x
_atom_site_fract_y
_atom_site_fract_z
_atom_site_occupancy
Bi1 0.0000 0.0000 0.0000 1
Zn1 0.5541 0.1250 0.2500 1
Zn2 0.8750 0.8041 0.7500 1
P1 0.5000 0.5000 0.0000 1
Bi2 0.7500 0.2500 0.5000 1
P2 0.2500 0.7500 0.5000 1
Zn3 0.3750 0.4459 0.7500 1
Zn4 0.1959 0.6250 0.2500 1
# ΔE to the lowest computed polymorph, eV per formula unit: 0.000
# ρ, g/cm3: 6.09
# M_tot, μB/cell: 0.0

[4]
# Zn2BiP | the Alexandria database | PBE-GGA | optimized geometry
data_Zn2BiP
_space_group_name_H-M_alt 'P 1'
_space_group_IT_number 1
_cell_length_a 4.8487
_cell_length_b 4.8487
_cell_length_c 4.8487
_cell_angle_alpha 60.00
_cell_angle_beta 60.00
_cell_angle_gamma 60.00
loop_
_space_group_symop_operation_xyz
'x,y,z'
loop_
_atom_site_label
_atom_site_fract_x
_atom_site_fract_y
_atom_site_fract_z
_atom_site_occupancy
Zn1 0.2500 0.2500 0.2500 1
P1 0.0000 0.0000 0.0000 1
Bi1 0.5000 0.5000 0.5000 1
Zn2 0.7500 0.7500 0.7500 1
# ΔE to the lowest computed polymorph, eV per formula unit: 1.337
# ρ, g/cm3: 7.64
# M_tot, μB/cell: 0.0

[5]
# ZrBiP | the Alexandria database | PBE-GGA | optimized geometry
data_ZrBiP
_space_group_name_H-M_alt 'P 1'
_space_group_IT_number 1
_cell_length_a 3.5370
_cell_length_b 3.5367
_cell_length_c 11.2587
_cell_angle_alpha 88.92
_cell_angle_beta 88.92
_cell_angle_gamma 89.75
loop_
_space_group_symop_operation_xyz
'x,y,z'
loop_
_atom_site_label
_atom_site_fract_x
_atom_site_fract_y
_atom_site_fract_z
_atom_site_occupancy
Bi1 0.1634 0.6637 0.3672 1
P1 0.7652 0.2648 0.9170 1
P2 0.2348 0.7352 0.0830 1
Bi2 0.8366 0.3363 0.6328 1
Zr1 0.7297 0.2301 0.1615 1
Zr2 0.2703 0.7699 0.8385 1
# ΔE to the lowest computed polymorph, eV per formula unit: 0.136
# ρ, g/cm3: 7.81
# M_tot, μB/cell: 0.0

[6]
# ZrBiP | the Alexandria database | PBE-GGA | optimized geometry
data_ZrBiP
_space_group_name_H-M_alt 'P 1'
_space_group_IT_number 1
_cell_length_a 3.5629
_cell_length_b 12.8518
_cell_length_c 6.0521
_cell_angle_alpha 90.00
_cell_angle_beta 90.00
_cell_angle_gamma 90.00
loop_
_space_group_symop_operation_xyz
'x,y,z'
loop_
_atom_site_label
_atom_site_fract_x
_atom_site_fract_y
_atom_site_fract_z
_atom_site_occupancy
P1 0.0000 0.4386 0.7864 1
Bi1 0.0000 0.6979 0.9424 1
P2 0.5000 0.9386 0.7864 1
Bi2 0.5000 0.1979 0.9424 1
Zr1 0.5000 0.5688 0.6094 1
Zr2 0.5000 0.4312 0.1094 1
P3 0.5000 0.0614 0.2864 1
Zr3 0.0000 0.9312 0.1094 1
P4 0.0000 0.5614 0.2864 1
Bi3 0.0000 0.3021 0.4424 1
Bi4 0.5000 0.8021 0.4424 1
Zr4 0.0000 0.0688 0.6094 1
# ΔE to the lowest computed polymorph, eV per formula unit: 0.214
# ρ, g/cm3: 7.94
# M_tot, μB/cell: 0.0

[7]
# ZrBi2P | the Alexandria database | PBE-GGA | optimized geometry
data_ZrBi2P
_space_group_name_H-M_alt 'P 1'
_space_group_IT_number 1
_cell_length_a 6.6509
_cell_length_b 6.6509
_cell_length_c 7.9651
_cell_angle_alpha 65.32
_cell_angle_beta 65.32
_cell_angle_gamma 90.00
loop_
_space_group_symop_operation_xyz
'x,y,z'
loop_
_atom_site_label
_atom_site_fract_x
_atom_site_fract_y
_atom_site_fract_z
_atom_site_occupancy
Bi1 0.6051 0.1250 0.2500 1
Bi2 0.8750 0.8551 0.7500 1
P1 0.5000 0.5000 0.0000 1
Zr1 0.7500 0.2500 0.5000 1
Zr2 0.0000 0.0000 0.0000 1
Bi3 0.3750 0.3949 0.7500 1
Bi4 0.1449 0.6250 0.2500 1
P2 0.2500 0.7500 0.5000 1
# ρ, g/cm3: 6.31
# M_tot, μB/cell: 1.9
# Calculated total energy, eV/f.u.: -19.57

[8]
# Zr3BiP | the Alexandria database | PBE-GGA | optimized geometry
data_Zr3BiP
_space_group_name_H-M_alt 'P 1'
_space_group_IT_number 1
_cell_length_a 3.8709
_cell_length_b 7.9690
_cell_length_c 8.4454
_cell_angle_alpha 68.16
_cell_angle_beta 76.75
_cell_angle_gamma 75.94
loop_
_space_group_symop_operation_xyz
'x,y,z'
loop_
_atom_site_label
_atom_site_fract_x
_atom_site_fract_y
_atom_site_fract_z
_atom_site_occupancy
Zr1 0.0506 0.6317 0.2671 1
Zr2 0.9494 0.3683 0.7329 1
Zr3 0.5958 0.0294 0.7789 1
Bi1 0.8350 0.7812 0.5489 1
P1 0.3863 0.2744 0.9530 1
Zr4 0.2455 0.6489 0.8602 1
Zr5 0.4042 0.9706 0.2211 1
Bi2 0.1650 0.2188 0.4511 1
Zr6 0.7545 0.3511 0.1398 1
P2 0.6137 0.7256 0.0470 1
# ρ, g/cm3: 7.36
# M_tot, μB/cell: 0.0
# Calculated total energy, eV/f.u.: -38.02

[9]
# ZrBi3P | the Alexandria database | PBE-GGA | optimized geometry
data_ZrBi3P
_space_group_name_H-M_alt 'P 1'
_space_group_IT_number 1
_cell_length_a 5.6450
_cell_length_b 5.6450
_cell_length_c 5.6450
_cell_angle_alpha 90.00
_cell_angle_beta 90.00
_cell_angle_gamma 90.00
loop_
_space_group_symop_operation_xyz
'x,y,z'
loop_
_atom_site_label
_atom_site_fract_x
_atom_site_fract_y
_atom_site_fract_z
_atom_site_occupancy
P1 0.5000 0.5000 0.5000 1
Bi1 0.0000 0.0000 0.5000 1
Bi2 0.5000 0.0000 0.0000 1
Bi3 0.0000 0.5000 0.0000 1
Zr1 0.0000 0.0000 0.0000 1
# ρ, g/cm3: 6.92
# M_tot, μB/cell: 1.8
# Calculated total energy, eV/f.u.: -21.81

[10]
# Zr2BiP | the Alexandria database | PBE-GGA | optimized geometry
data_Zr2BiP
_space_group_name_H-M_alt 'P 1'
_space_group_IT_number 1
_cell_length_a 6.2530
_cell_length_b 6.2530
_cell_length_c 7.6521
_cell_angle_alpha 65.88
_cell_angle_beta 65.88
_cell_angle_gamma 90.00
loop_
_space_group_symop_operation_xyz
'x,y,z'
loop_
_atom_site_label
_atom_site_fract_x
_atom_site_fract_y
_atom_site_fract_z
_atom_site_occupancy
Zr1 0.3750 0.4296 0.7500 1
Zr2 0.1796 0.6250 0.2500 1
Zr3 0.8750 0.8204 0.7500 1
P1 0.5000 0.5000 0.0000 1
Zr4 0.5704 0.1250 0.2500 1
P2 0.2500 0.7500 0.5000 1
Bi1 0.0000 0.0000 0.0000 1
Bi2 0.7500 0.2500 0.5000 1
# ρ, g/cm3: 5.74
# M_tot, μB/cell: 0.0
# Calculated total energy, eV/f.u.: -26.88

[11]
# ZrBiP | the Alexandria database | PBE-GGA | optimized geometry
data_ZrBiP
_space_group_name_H-M_alt 'P 1'
_space_group_IT_number 1
_cell_length_a 5.1593
_cell_length_b 4.0463
_cell_length_c 7.4689
_cell_angle_alpha 90.00
_cell_angle_beta 108.25
_cell_angle_gamma 90.00
loop_
_space_group_symop_operation_xyz
'x,y,z'
loop_
_atom_site_label
_atom_site_fract_x
_atom_site_fract_y
_atom_site_fract_z
_atom_site_occupancy
Bi1 0.7585 0.7500 0.4484 1
Zr1 0.2005 0.7500 0.8936 1
P1 0.3078 0.2500 0.1261 1
Bi2 0.2415 0.2500 0.5516 1
Zr2 0.7995 0.2500 0.1064 1
P2 0.6922 0.7500 0.8739 1
# ΔE to the lowest computed polymorph, eV per formula unit: 0.237
# ρ, g/cm3: 7.43
# M_tot, μB/cell: 0.0

[12]
# ZrBiP | the Alexandria database | PBE-GGA | optimized geometry
data_ZrBiP
_space_group_name_H-M_alt 'P 1'
_space_group_IT_number 1
_cell_length_a 3.5189
_cell_length_b 3.5128
_cell_length_c 11.4096
_cell_angle_alpha 90.00
_cell_angle_beta 90.00
_cell_angle_gamma 90.00
loop_
_space_group_symop_operation_xyz
'x,y,z'
loop_
_atom_site_label
_atom_site_fract_x
_atom_site_fract_y
_atom_site_fract_z
_atom_site_occupancy
Zr1 0.5000 0.0000 0.0274 1
Bi1 0.5000 0.5000 0.5594 1
Bi2 0.0000 0.0000 0.2956 1
P1 0.0000 0.5000 0.1024 1
Zr2 0.0000 0.0000 0.7604 1
P2 0.5000 0.5000 0.8497 1
# ΔE to the lowest computed polymorph, eV per formula unit: 0.109
# ρ, g/cm3: 7.80
# M_tot, μB/cell: 0.0